# 1
The following is a GGA-PBE calculation of Sb2TeMo after structural relaxation, from Alexandria via LeMat-Bulk.

**Raw formation energy**: 2.587 eV/f.u.
**SG**: No. 65
**D(E_F)**: 2.85 states/eV/f.u.
**Calculated volume**: 94.5 Å³/f.u.
**Crystal system**: orthorhombic

Cell: 5.249 5.249 3.564 Å, 90.00 90.00 105.67°
Fractional coordinates of all 4 atoms:
Sb 0.000 0.500 0.000
Sb 0.500 0.000 0.000
Te 0.000 0.000 0.500
Mo 0.500 0.500 0.500

=====

# 2
The following is a GGA-PBE calculation of SbTe3Mo after structural relaxation, from Alexandria via LeMat-Bulk.

**Raw formation energy**: 6.055 eV/f.u.
**SG**: No. 221
**Excess energy over the best structure of this formula in the dataset**: 715 meV per atom
**D(E_F)**: 6.21 states/eV/f.u.
**Calculated volume**: 184.7 Å³/f.u.
**Crystal system**: cubic

Cell: 5.695 5.695 5.695 Å, 90.00 90.00 90.00°
Fractional coordinates of all 5 atoms:
Sb 0.000 0.000 0.000
Te 0.000 0.000 0.500
Te 0.000 0.500 0.000
Te 0.500 0.000 0.000
Mo 0.500 0.500 0.500

=====

# 3
The following is a GGA-PBE calculation of Sb2TeMo after structural relaxation, from Alexandria via LeMat-Bulk.

**Raw formation energy**: 1.703 eV/f.u.
**SG**: No. 35
**D(E_F)**: 4.42 states/eV/f.u.
**Calculated volume**: 97.4 Å³/f.u.
**Crystal system**: orthorhombic

Cell: 3.197 3.197 10.331 Å, 90.00 90.00 112.71°
Fractional coordinates of all 4 atoms:
Sb 0.000 0.000 0.000
Sb 0.500 0.500 0.284
Te 0.000 0.000 0.590
Mo 0.500 0.500 0.793

=====

# 4
The following is a GGA-PBE calculation of SbTe3Mo after structural relaxation, from Alexandria via LeMat-Bulk.

**Raw formation energy**: 2.479 eV/f.u.
**SG**: No. 221
**Excess energy over the best structure of this formula in the dataset**: 0 meV per atom
**D(E_F)**: 5.75 states/eV/f.u.
**Calculated volume**: 147.3 Å³/f.u.
**Crystal system**: cubic

Cell: 5.281 5.281 5.281 Å, 90.00 90.00 90.00°
Fractional coordinates of all 5 atoms:
Sb 0.000 0.000 0.000
Te 0.000 0.500 0.500
Te 0.500 0.000 0.500
Te 0.500 0.500 0.000
Mo 0.500 0.500 0.500

=====

# 5
The following is a GGA-PBE calculation of Sb2TeMo after structural relaxation, from Alexandria via LeMat-Bulk.

**Raw formation energy**: 0.966 eV/f.u.
**SG**: No. 44
**D(E_F)**: 2.69 states/eV/f.u.
**Calculated volume**: 105.2 Å³/f.u.
**Crystal system**: orthorhombic

Cell: 7.491 7.491 7.491 Å, 154.10 144.96 44.08°
Fractional coordinates of all 4 atoms:
Sb 0.000 0.000 0.000
Sb 0.643 0.143 0.500
Te 0.308 0.808 0.500
Mo 0.462 0.462 0.000

=====

# 6
The following is a GGA-PBE calculation of SbTe2Mo after structural relaxation, from Alexandria via LeMat-Bulk.

**Raw formation energy**: 0.293 eV/f.u.
**SG**: No. 12
**D(E_F)**: 2.95 states/eV/f.u.
**Calculated volume**: 100.1 Å³/f.u.
**Crystal system**: monoclinic

Cell: 3.471 3.471 9.781 Å, 99.32 99.32 59.84°
Fractional coordinates of all 4 atoms:
Sb 0.000 0.000 0.000
Te 0.227 0.227 0.696
Te 0.773 0.773 0.304
Mo 0.500 0.500 0.500

=====

How do the records compare in raw total energy? In the order shown, they have -19.6 -18.3 -20.5 -21.9 -21.3 -20.9 eV for the cell shown.